Record 1
# PBE Li2SmBO4, optimized geometry
# Total magnetic moment (Bohr magnetons per cell): 0.00
# Raw formation energy (eV/f.u.): -18.7
data_Li2SmBO4
_chemical_formula_sum 'Li8 Sm4 B4 O16'
_cell_length_a 3.182
_cell_length_b 10.451
_cell_length_c 9.520
_cell_angle_alpha 90.00
_cell_angle_beta 90.00
_cell_angle_gamma 90.00
_symmetry_space_group_name_H-M 'C m c m'
_symmetry_Int_Tables_number 63
_symmetry_space_group_name_Hall '-C 2c 2'
loop_
_atom_site_label
_atom_site_fract_x
_atom_site_fract_y
_atom_site_fract_z
Li1 0.000 0.121 0.039
Sm1 0.000 0.437 0.250
B1 0.000 0.283 0.750
O1 0.000 0.108 0.250
O2 0.000 0.218 0.628
O3 0.000 0.500 0.000



Record 2
# PBE Li6SmB3O9, optimized geometry
# Total magnetic moment (Bohr magnetons per cell): 0.00
# Raw formation energy (eV/f.u.): -47.0
data_Li6SmB3O9
_chemical_formula_sum 'Li24 Sm4 B12 O36'
_cell_length_a 7.329
_cell_length_b 16.626
_cell_length_c 6.792
_cell_angle_alpha 90.00
_cell_angle_beta 105.56
_cell_angle_gamma 90.00
_symmetry_space_group_name_H-M 'P 1 21/c 1'
_symmetry_Int_Tables_number 14
_symmetry_space_group_name_Hall '-P 2ybc'
loop_
_atom_site_label
_atom_site_fract_x
_atom_site_fract_y
_atom_site_fract_z
Li1 0.047 0.030 0.170
Li2 0.060 0.704 0.047
Li3 0.193 0.535 0.055
Li4 0.213 0.206 0.866
Li5 0.360 0.052 0.918
Li6 0.428 0.004 0.325
Sm1 0.420 0.689 0.848
B1 0.059 0.614 0.688
B2 0.212 0.119 0.499
B3 0.418 0.635 0.338
O1 0.036 0.087 0.413
O2 0.075 0.697 0.725
O3 0.104 0.077 0.923
O4 0.221 0.568 0.771
O5 0.236 0.201 0.555
O6 0.349 0.684 0.167
O7 0.376 0.073 0.540
O8 0.416 0.553 0.324
O9 0.497 0.673 0.525



Record 3
# PBE Li2SnB2O6, optimized geometry
# Excess energy over the best structure of this formula in the dataset (meV/atom): 18.1
# Total magnetic moment (Bohr magnetons per cell): 0.00
# Raw formation energy (eV/f.u.): -23.4
data_Li2SnB2O6
_chemical_formula_sum 'Li8 Sn4 B8 O24'
_cell_length_a 5.235
_cell_length_b 9.008
_cell_length_c 10.407
_cell_angle_alpha 90.00
_cell_angle_beta 92.97
_cell_angle_gamma 90.00
_symmetry_space_group_name_H-M 'P 1 21 1'
_symmetry_Int_Tables_number 4
_symmetry_space_group_name_Hall 'P 2yb'
loop_
_atom_site_label
_atom_site_fract_x
_atom_site_fract_y
_atom_site_fract_z
Li1 0.048 0.000 0.147
Li2 0.056 0.314 0.612
Li3 0.384 0.928 0.925
Li4 0.421 0.956 0.333
Sn1 0.122 0.669 0.119
Sn2 0.404 0.301 0.377
B1 0.079 0.640 0.635
B2 0.105 0.325 0.118
B3 0.416 0.641 0.379
B4 0.422 0.272 0.874
O1 0.017 0.959 0.909
O2 0.022 0.698 0.924
O3 0.025 0.278 0.406
O4 0.067 0.022 0.337
O5 0.173 0.314 0.848
O6 0.176 0.658 0.318
O7 0.346 0.321 0.180
O8 0.348 0.632 0.647
O9 0.373 0.870 0.129
O10 0.454 0.271 0.579
O11 0.466 0.008 0.595
O12 0.492 0.126 0.900



Record 4
# PBE Li2SnB2O6, optimized geometry
# Excess energy over the best structure of this formula in the dataset (meV/atom): 0.0
# Total magnetic moment (Bohr magnetons per cell): 0.00
# Raw formation energy (eV/f.u.): -23.6
data_Li2SnB2O6
_chemical_formula_sum 'Li2 Sn1 B2 O6'
_cell_length_a 4.9015
_cell_length_b 4.9015
_cell_length_c 6.0386
_cell_angle_alpha 90.00
_cell_angle_beta 90.00
_cell_angle_gamma 120.00
_symmetry_space_group_name_H-M 'P -3'
_symmetry_Int_Tables_number 147
_symmetry_space_group_name_Hall '-P 3'
loop_
_atom_site_label
_atom_site_fract_x
_atom_site_fract_y
_atom_site_fract_z
Li1 0.3333 0.6667 0.2936
Sn1 0.0000 0.0000 0.0000
B1 0.3333 0.6667 0.8021
O1 0.0621 0.6883 0.7968



Record 5
# PBE LiSnBO2, optimized geometry
# Total magnetic moment (Bohr magnetons per cell): 0.00
# Raw formation energy (eV/f.u.): 3.0
data_LiSnBO2
_chemical_formula_sum 'Li1 Sn1 B1 O2'
_cell_length_a 3.535
_cell_length_b 3.535
_cell_length_c 5.059
_cell_angle_alpha 90.00
_cell_angle_beta 90.00
_cell_angle_gamma 90.00
_symmetry_space_group_name_H-M 'P 4/m m m'
_symmetry_Int_Tables_number 123
_symmetry_space_group_name_Hall '-P 4 2'
loop_
_atom_site_label
_atom_site_fract_x
_atom_site_fract_y
_atom_site_fract_z
Li1 0.000 0.000 0.000
Sn1 0.000 0.000 0.500
B1 0.500 0.500 0.500
O1 0.000 0.500 0.000



Record 6
# PBE Li3SnB2O6, optimized geometry
# Excess energy over the best structure of this formula in the dataset (meV/atom): 36.3
# Total magnetic moment (Bohr magnetons per cell): 0.00
# Raw formation energy (eV/f.u.): -24.9
data_Li3SnB2O6
_chemical_formula_sum 'Li12 Sn4 B8 O24'
_cell_length_a 8.877
_cell_length_b 6.459
_cell_length_c 10.073
_cell_angle_alpha 90.00
_cell_angle_beta 116.37
_cell_angle_gamma 90.00
_symmetry_space_group_name_H-M 'P 1 21/c 1'
_symmetry_Int_Tables_number 14
_symmetry_space_group_name_Hall '-P 2ybc'
loop_
_atom_site_label
_atom_site_fract_x
_atom_site_fract_y
_atom_site_fract_z
Li1 0.105 0.248 0.481
Li2 0.206 0.562 0.167
Li3 0.341 0.721 0.543
Sn1 0.309 0.037 0.305
B1 0.041 0.661 0.821
B2 0.452 0.169 0.120
O1 0.090 0.702 0.710
O2 0.115 0.210 0.686
O3 0.159 0.558 0.946
O4 0.298 0.069 0.064
O5 0.440 0.650 0.233
O6 0.497 0.204 0.530



Record 7
# PBE Li2SnBO4, optimized geometry
# Excess energy over the best structure of this formula in the dataset (meV/atom): 161.7
# Total magnetic moment (Bohr magnetons per cell): 1.11
# Raw formation energy (eV/f.u.): -14.6
data_Li2SnBO4
_chemical_formula_sum 'Li4 Sn2 B2 O8'
_cell_length_a 4.562
_cell_length_b 4.562
_cell_length_c 8.237
_cell_angle_alpha 90.00
_cell_angle_beta 90.00
_cell_angle_gamma 90.00
_symmetry_space_group_name_H-M 'I -4'
_symmetry_Int_Tables_number 82
_symmetry_space_group_name_Hall 'I -4'
loop_
_atom_site_label
_atom_site_fract_x
_atom_site_fract_y
_atom_site_fract_z
Li1 0.000 0.000 0.000
Li2 0.000 0.500 0.250
Sn1 0.000 0.000 0.500
B1 0.000 0.500 0.750
O1 0.179 0.289 0.851



Record 8
# PBE Li3SnB5O10, optimized geometry
# Total magnetic moment (Bohr magnetons per cell): 0.00
# Raw formation energy (eV/f.u.): -43.1
data_Li3SnB5O10
_chemical_formula_sum 'Li6 Sn2 B10 O20'
_cell_length_a 6.923
_cell_length_b 6.995
_cell_length_c 9.600
_cell_angle_alpha 86.55
_cell_angle_beta 89.03
_cell_angle_gamma 76.53
_symmetry_space_group_name_H-M 'P -1'
_symmetry_Int_Tables_number 2
_symmetry_space_group_name_Hall '-P 1'
loop_
_atom_site_label
_atom_site_fract_x
_atom_site_fract_y
_atom_site_fract_z
Li1 0.008 0.222 0.454
Li2 0.080 0.641 0.273
Li3 0.268 0.980 0.750
Sn1 0.271 0.547 0.865
B1 0.148 0.217 0.178
B2 0.233 0.921 0.051
B3 0.299 0.899 0.303
B4 0.353 0.229 0.600
B5 0.367 0.718 0.538
O1 0.046 0.410 0.176
O2 0.158 0.241 0.622
O3 0.182 0.106 0.303
O4 0.211 0.125 0.054
O5 0.233 0.844 0.924
O6 0.239 0.789 0.425
O7 0.247 0.808 0.176
O8 0.277 0.708 0.664
O9 0.428 0.319 0.483
O10 0.487 0.109 0.694